Record 1
Compound: KCdPb2
Source: Alexandria
Functional: PBE
Structure: optimized geometry

Density of states at the Fermi level ... 2.61 states/eV/f.u.
Magnetization ... 0.00 μB/cell
Total energy ... -2.35 eV/atom

abc: 4.9764 4.9769 5.0188
angles: 90.00 90.00 90.00
Fractional positions:
Cd 0.5000 0.0000 0.5000
K 0.0000 0.5000 0.5000
Pb 0.0000 0.0000 0.0000
Pb 0.5000 0.5000 0.0000

=====

Record 2
Compound: YF
Source: Alexandria
Functional: PBE
Structure: optimized geometry

Density of states at the Fermi level ... 0.87 states/eV/f.u.
Magnetization ... 0.00 μB/cell
ΔE_f (raw) ... -231 kJ per mole of atoms

abc: 4.8756 4.9832 5.9809
angles: 90.00 90.00 90.00
Fractional positions:
Y 0.0000 0.2500 0.2848
Y 0.0000 0.7500 0.7152
Y 0.5000 0.2500 0.7152
Y 0.5000 0.7500 0.2848
F 0.0000 0.2500 0.8834
F 0.0000 0.7500 0.1166
F 0.5000 0.2500 0.1166
F 0.5000 0.7500 0.8834

=====

Record 3
Compound: Te2PbSe
Source: Alexandria
Functional: PBE
Structure: optimized geometry

Density of states at the Fermi level ... 3.47 states/eV/f.u.
Magnetization ... 0.00 μB/cell
ΔE_f (raw) ... 2 kJ per mole of atoms

abc: 7.5882 7.5882 7.5882
angles: 34.15 34.15 34.15
Fractional positions:
Pb 0.2500 0.2500 0.2500
Se 0.7500 0.7500 0.7500
Te 0.0043 0.0043 0.0043
Te 0.4957 0.4957 0.4957

=====

Record 4
Compound: Nd2Sm3Y6Pb
Source: Alexandria
Functional: PBE
Structure: optimized geometry

Density of states at the Fermi level ... 14.36 states/eV/f.u.
Magnetization ... 0.00 μB/cell
Total energy ... -5.59 eV/atom

abc: 6.1843 6.1843 11.8194
angles: 95.03 95.03 120.01
Fractional positions:
Nd 0.3339 0.6661 0.0000
Nd 0.6661 0.3339 0.0000
Sm 0.1674 0.8326 0.5000
Sm 0.8326 0.1674 0.5000
Sm 0.5000 0.5000 0.5000
Y 0.9184 0.5925 0.7525
Y 0.7562 0.7562 0.2485
Y 0.0816 0.4075 0.2475
Y 0.5925 0.9184 0.7525
Y 0.2438 0.2438 0.7515
Y 0.4075 0.0816 0.2475
Pb 0.0000 0.0000 0.0000

=====

Question: What is the magnetization in the fourth record?
Answer: 0.00 μB/cell